# 1
## TlAsPtCl (PBE)

Data for a relaxed structure of TlAsPtCl.

The structure in extended XYZ format:
```
4
Lattice="3.7220 0.0000 0.0000 1.8606 3.2236 0.0000 1.8311 1.0390 8.8056" Properties=species:S:1:pos:R:3 pbc="T T T"
Tl 0.0000 0.0000 0.0000
As 1.8304 1.0359 4.0385
Pt 5.5511 3.1841 2.8876
Cl 3.6925 2.1148 6.9217
```

Computed properties:
The value obtained for the energy relative to the elements, uncorrected is -1.36 eV per formula unit. The energy relative to the lowest polymorph listed for this composition comes out at 11 meV per atom.

***

# 2
## TlAsPtCl (PBE)

Data for a relaxed structure of TlAsPtCl.

The structure in extended XYZ format:
```
4
Lattice="3.5671 0.0000 0.0000 0.0746 5.7231 0.0000 1.6646 2.3153 5.1337" Properties=species:S:1:pos:R:3 pbc="T T T"
Tl 0.0000 0.0000 0.0000
As 3.4560 5.1965 3.2718
Pt 1.6767 5.1664 4.8271
Cl 3.4619 2.8334 2.2954
```

Computed properties:
The value obtained for the energy relative to the elements, uncorrected is -0.99 eV per formula unit. The energy relative to the lowest polymorph listed for this composition comes out at 105 meV per atom.

***

# 3
## TlAsPtCl (PBE)

Data for a relaxed structure of TlAsPtCl.

The structure in extended XYZ format:
```
8
Lattice="6.6956 0.0000 0.0000 0.0000 3.5556 0.0000 -1.6320 0.0000 8.1560" Properties=species:S:1:pos:R:3 pbc="T T T"
Tl 0.0000 0.0000 0.0000
Tl 3.3478 1.7778 0.0000
As 1.3930 1.7778 2.6786
As 4.7408 0.0000 2.6786
Pt 0.2523 0.0000 3.8753
Pt 3.6001 1.7778 3.8753
Cl -0.3596 1.7778 5.8028
Cl 2.9882 0.0000 5.8028
```

Computed properties:
The value obtained for the energy relative to the elements, uncorrected is -1.29 eV per formula unit. The energy relative to the lowest polymorph listed for this composition comes out at 28 meV per atom.

***

# 4
## TlAsPtCl (PBE)

Data for a relaxed structure of TlAsPtCl.

The structure in extended XYZ format:
```
4
Lattice="5.2235 0.0000 0.0000 0.0000 3.9031 0.0000 -0.2177 0.0000 5.4758" Properties=species:S:1:pos:R:3 pbc="T T T"
Tl 0.0000 0.0000 0.0000
As 3.2566 1.9515 2.6134
Pt 4.5986 0.0000 2.7118
Cl 2.5418 1.9515 0.2157
```

Computed properties:
The value obtained for the energy relative to the elements, uncorrected is -0.99 eV per formula unit. The energy relative to the lowest polymorph listed for this composition comes out at 104 meV per atom.

***

# 5
## TlAsPtCl (PBE)

Data for a relaxed structure of TlAsPtCl.

The structure in extended XYZ format:
```
8
Lattice="6.4500 0.0000 0.0000 0.0000 3.6975 0.0000 -2.2785 0.0000 9.0920" Properties=species:S:1:pos:R:3 pbc="T T T"
Tl 0.0000 0.0000 0.0000
Tl 3.2250 1.8488 0.0000
As 2.1324 0.0000 4.0474
As 5.3574 1.8488 4.0474
Pt -0.0085 0.0000 2.8823
Pt 3.2165 1.8488 2.8823
Cl -0.1372 0.0000 7.2262
Cl 3.0878 1.8488 7.2262
```

Computed properties:
The value obtained for the energy relative to the elements, uncorrected is -1.35 eV per formula unit. The energy relative to the lowest polymorph listed for this composition comes out at 15 meV per atom.

***

# 6
## TlAsPtCl (PBE)

Data for a relaxed structure of TlAsPtCl.

The structure in extended XYZ format:
```
4
Lattice="3.5612 0.0000 0.0000 -1.7669 5.3658 0.0000 -1.7703 -1.8603 5.3088" Properties=species:S:1:pos:R:3 pbc="T T T"
Tl 0.0000 0.0000 0.0000
As -0.0123 0.8227 3.2400
Pt -1.7918 1.0215 4.8100
Cl -0.0185 3.0681 2.0582
```

Computed properties:
The value obtained for the energy relative to the elements, uncorrected is -0.94 eV per formula unit. The energy relative to the lowest polymorph listed for this composition comes out at 116 meV per atom.

***

# 7
## TlAsPtCl (PBE)

Data for a relaxed structure of TlAsPtCl.

The structure in extended XYZ format:
```
4
Lattice="3.7493 0.0000 0.0000 -1.8714 3.2548 0.0000 -0.0104 -2.1457 8.2513" Properties=species:S:1:pos:R:3 pbc="T T T"
Tl 0.0000 0.0000 0.0000
As 1.8752 1.0823 2.5220
Pt 0.0009 2.1690 3.6362
Cl 1.8630 -1.0590 6.1685
```

Computed properties:
The value obtained for the energy relative to the elements, uncorrected is -1.40 eV per formula unit. The energy relative to the lowest polymorph listed for this composition comes out at 1 meV per atom.

***

# 8
## V2AsPtCl (PBE)

Data for a relaxed structure of V2AsPtCl.

The structure in extended XYZ format:
```
5
Lattice="4.7062 0.0000 0.0000 0.0000 4.7062 0.0000 0.0000 0.0000 4.6069" Properties=species:S:1:pos:R:3 pbc="T T T"
V 0.0000 2.3531 0.0000
V 2.3531 0.0000 0.0000
As 0.0000 0.0000 0.0000
Pt 0.0000 0.0000 2.3034
Cl 2.3531 2.3531 2.3034
```

Computed properties:
The value obtained for the energy relative to the elements, uncorrected is 3.99 eV per formula unit.

***

# 9
## AsPtWCl2 (PBE)

Data for a relaxed structure of AsPtWCl2.

The structure in extended XYZ format:
```
5
Lattice="4.8712 0.0000 0.0000 0.0000 4.8712 0.0000 0.0000 0.0000 4.8857" Properties=species:S:1:pos:R:3 pbc="T T T"
As 0.0000 0.0000 0.0000
Pt 0.0000 0.0000 2.4429
W 2.4356 2.4356 2.4429
Cl 0.0000 2.4356 0.0000
Cl 2.4356 0.0000 0.0000
```

Computed properties:
The value obtained for the energy relative to the elements, uncorrected is 6.05 eV per formula unit.

***

# 10
## Pu3As2Cl (PBE)

Data for a relaxed structure of Pu3As2Cl.

The structure in extended XYZ format:
```
12
Lattice="4.1714 0.0000 0.0000 0.0000 5.8401 0.0000 0.0000 0.0000 12.3301" Properties=species:S:1:pos:R:3 pbc="T T T"
Pu 0.0000 0.0000 0.0000
Pu 0.0000 0.0000 4.0777
Pu 0.0000 0.0000 8.2524
Pu 2.0857 2.9200 2.0873
Pu 2.0857 2.9200 6.1650
Pu 2.0857 2.9200 10.2427
As 0.0000 2.9200 4.1214
As 0.0000 2.9200 8.2086
As 2.0857 0.0000 2.0436
As 2.0857 0.0000 10.2865
Cl 0.0000 2.9200 0.0000
Cl 2.0857 0.0000 6.1650
```

Computed properties:
The value obtained for the energy relative to the elements, uncorrected is -6.81 eV per formula unit. The energy relative to the lowest polymorph listed for this composition comes out at 0 meV per atom.

***

# 11
## Pu2AsCl2 (PBE)

Data for a relaxed structure of Pu2AsCl2.

The structure in extended XYZ format:
```
15
Lattice="4.1487 0.0000 0.0000 -2.0743 3.5929 0.0000 0.0000 0.0000 29.6124" Properties=species:S:1:pos:R:3 pbc="T T T"
Pu 0.0000 0.0000 3.2538
Pu 0.0000 0.0000 26.3586
Pu 0.0000 2.3952 16.4878
Pu 0.0000 2.3952 22.9955
Pu 2.0743 1.1976 6.6170
Pu 2.0743 1.1976 13.1246
As 0.0000 0.0000 14.8062
As 0.0000 2.3952 4.9354
As 2.0743 1.1976 24.6770
Cl 0.0000 0.0000 8.1414
Cl 0.0000 0.0000 21.4710
Cl 0.0000 2.3952 11.6002
Cl 0.0000 2.3952 27.8830
Cl 2.0743 1.1976 1.7294
Cl 2.0743 1.1976 18.0122
```

Computed properties:
The value obtained for the energy relative to the elements, uncorrected is -7.58 eV per formula unit.

***

# 12
## Pu3As2Cl (PBE)

Data for a relaxed structure of Pu3As2Cl.

The structure in extended XYZ format:
```
12
Lattice="4.1452 0.0000 0.0000 -2.0726 3.5899 0.0000 0.0000 0.0000 20.5921" Properties=species:S:1:pos:R:3 pbc="T T T"
Pu 0.0000 0.0000 0.0000
Pu 0.0000 0.0000 10.2960
Pu 0.0000 2.3932 3.3129
Pu 0.0000 2.3932 6.9831
Pu 2.0726 1.1966 13.6089
Pu 2.0726 1.1966 17.2792
As 0.0000 2.3932 12.0221
As 0.0000 2.3932 18.8660
As 2.0726 1.1966 1.7260
As 2.0726 1.1966 8.5700
Cl 0.0000 0.0000 5.1480
Cl 0.0000 0.0000 15.4441
```

Computed properties:
The value obtained for the energy relative to the elements, uncorrected is -6.53 eV per formula unit. The energy relative to the lowest polymorph listed for this composition comes out at 46 meV per atom.